No. 1
{"formula": "ScCd3Pb", "functional": "PBE", "state": "relaxed", "lattice_angstrom": [[5.544, 0.000, 0.000], [0.000, 5.544, 0.000], [0.000, 0.000, 5.544]], "species": ["Sc", "Cd", "Cd", "Cd", "Pb"], "frac_coords": [[0.000, 0.000, 0.000], [0.000, 0.500, 0.500], [0.500, 0.000, 0.500], [0.500, 0.500, 0.000], [0.500, 0.500, 0.500]], "relative_energy_mev_per_atom": 129, "sg": "Pm-3m", "total_energy_ev_per_atom": -1.864, "n_ef_per_ev_cell": 4.64}

No. 2
{"formula": "Sc2Cd4Pb3", "functional": "PBE", "state": "relaxed", "lattice_angstrom": [[5.508, -2.240, 0.000], [5.508, 2.240, 0.000], [-3.998, 0.000, 8.983]], "species": ["Sc", "Sc", "Cd", "Cd", "Cd", "Cd", "Pb", "Pb", "Pb"], "frac_coords": [[0.154, 0.154, 0.214], [0.846, 0.846, 0.786], [0.174, 0.174, 0.894], [0.485, 0.485, 0.322], [0.515, 0.515, 0.678], [0.826, 0.826, 0.106], [0.171, 0.171, 0.560], [0.500, 0.500, 0.000], [0.829, 0.829, 0.440]], "sg": "C2/m", "total_energy_ev_per_atom": -3.176, "n_ef_per_ev_cell": 5.31}

No. 3
{"formula": "ScCd4Pb", "functional": "PBE", "state": "relaxed", "lattice_angstrom": [[6.164, 0.000, 0.000], [-2.980, 5.714, 0.000], [-1.614, -2.758, 7.959]], "species": ["Sc", "Sc", "Cd", "Cd", "Cd", "Cd", "Cd", "Cd", "Cd", "Cd", "Pb", "Pb"], "frac_coords": [[0.080, 0.254, 0.338], [0.920, 0.746, 0.662], [0.080, 0.760, 0.330], [0.237, 0.234, 0.995], [0.239, 0.735, 0.994], [0.422, 0.257, 0.687], [0.578, 0.743, 0.313], [0.761, 0.265, 0.006], [0.763, 0.766, 0.005], [0.920, 0.240, 0.670], [0.418, 0.744, 0.657], [0.582, 0.256, 0.343]], "relative_energy_mev_per_atom": 0, "sg": "P-1", "total_energy_ev_per_atom": -2.405, "n_ef_per_ev_cell": 4.83}

No. 4
{"formula": "Sc2Cd5Pb", "functional": "PBE", "state": "relaxed", "lattice_angstrom": [[6.428, 0.000, 0.000], [0.000, 12.850, 0.000], [0.000, 0.000, 4.361]], "species": ["Sc", "Sc", "Sc", "Sc", "Cd", "Cd", "Cd", "Cd", "Cd", "Cd", "Cd", "Cd", "Cd", "Cd", "Pb", "Pb"], "frac_coords": [[0.226, 0.118, 0.000], [0.274, 0.618, 0.000], [0.726, 0.382, 0.000], [0.774, 0.882, 0.000], [0.000, 0.500, 0.500], [0.027, 0.744, 0.500], [0.223, 0.365, 0.000], [0.277, 0.865, 0.000], [0.473, 0.244, 0.500], [0.500, 0.000, 0.500], [0.527, 0.756, 0.500], [0.723, 0.135, 0.000], [0.777, 0.635, 0.000], [0.973, 0.256, 0.500], [0.000, 0.000, 0.500], [0.500, 0.500, 0.500]], "sg": "Pbam", "total_energy_ev_per_atom": -2.851, "n_ef_per_ev_cell": 10.29}

No. 5
{"formula": "ScCd2Pb", "functional": "PBE", "state": "relaxed", "lattice_angstrom": [[3.454, 0.000, 0.000], [0.000, 4.470, 0.000], [0.000, 0.000, 6.298]], "species": ["Sc", "Cd", "Cd", "Pb"], "frac_coords": [[0.000, 0.000, 0.000], [0.500, 0.500, 0.233], [0.500, 0.500, 0.767], [0.000, 0.000, 0.500]], "sg": "Pmmm", "total_energy_ev_per_atom": -3.077, "n_ef_per_ev_cell": 3.32}

No. 6
{"formula": "ScCd2Pb", "functional": "PBE", "state": "relaxed", "lattice_angstrom": [[3.456, 0.000, 0.000], [0.000, 4.332, 0.000], [0.000, 0.000, 6.492]], "species": ["Sc", "Cd", "Cd", "Pb"], "frac_coords": [[0.000, 0.000, 0.000], [0.000, 0.000, 0.477], [0.500, 0.500, 0.260], [0.500, 0.500, 0.774]], "sg": "Pmm2", "total_energy_ev_per_atom": -3.080, "n_ef_per_ev_cell": 2.91}

No. 7
{"formula": "Sc2CdPb", "functional": "PBE", "state": "relaxed", "lattice_angstrom": [[3.374, 0.000, 0.000], [0.000, 4.144, 0.000], [0.000, 0.000, 6.630]], "species": ["Sc", "Sc", "Cd", "Pb"], "frac_coords": [[0.000, 0.000, 0.246], [0.000, 0.000, 0.754], [0.500, 0.500, 0.000], [0.500, 0.500, 0.500]], "sg": "Pmmm", "total_energy_ev_per_atom": -4.648, "n_ef_per_ev_cell": 2.42}

No. 8
{"formula": "Sc2CdPb", "functional": "PBE", "state": "relaxed", "lattice_angstrom": [[4.664, 0.000, 0.000], [0.000, 4.664, 0.000], [0.000, 0.000, 4.246]], "species": ["Sc", "Sc", "Cd", "Pb"], "frac_coords": [[0.000, 0.500, 0.000], [0.500, 0.000, 0.000], [0.000, 0.000, 0.500], [0.500, 0.500, 0.500]], "sg": "P4/mmm", "total_energy_ev_per_atom": -4.652, "n_ef_per_ev_cell": 3.05}